HoCu2Pt2 (PBE, optimized geometry); density = 13.0 g/cm³; energy of formation = -0.569 eV/atom; symmetry = I4/mmm, No. 139
1.0
-1.7091 1.3781 3.2237
-1.0218 -3.6265 1.0086
11.1939 -0.0556 3.5990
Ho Cu Pt
2 4 4
Cartesian
7.3128 -0.8778 4.2523
1.1501 -1.4261 3.5789
-0.8546 0.6891 1.6119
3.5022 -0.4204 2.0365
4.9607 -1.8835 5.7947
-0.5109 -1.8132 0.5043
7.0403 -2.1332 7.0040
4.0596 0.0992 4.4694
4.4033 -2.4031 3.3618
1.4227 -0.1708 0.8273

***

Ho6Cu5Pt (PBE, optimized geometry); density = 10.1 g/cm³; energy of formation = -0.445 eV/atom; symmetry = Cmmm, No. 65
1.0
-1.4081 -0.8496 4.5942
4.9710 -4.7597 0.6435
3.9457 4.7534 4.6798
Ho Cu Pt
6 5 1
Cartesian
3.6501 1.8471 4.0517
1.3761 -0.3261 5.5443
6.1324 -0.5297 4.3732
0.5290 -1.6054 2.4567
3.0339 -4.0039 2.7811
3.8584 -2.7030 5.8658
1.6315 2.5354 6.1518
3.3104 -1.1020 3.4023
0.9061 1.3684 3.1222
2.4855 -2.3799 0.3218
4.1982 0.2461 6.5152
0.0000 0.0000 0.0000

***

HoPuCuPt (PBE, optimized geometry); density = 13.1 g/cm³; energy of formation = -0.524 eV/atom; symmetry = F-43m, No. 216
1.0
4.9296 0.0000 0.0000
2.4648 4.2692 0.0000
2.4648 1.4231 4.0250
Ho Pt Pu Cu
1 1 1 1
Cartesian
0.0000 0.0000 0.0000
2.4648 1.4231 1.0062
4.9296 2.8461 2.0125
7.3944 4.2692 3.0187

***

HoCuPtRh (PBE, optimized geometry); density = 12.9 g/cm³; energy of formation = -0.583 eV/atom; symmetry = F-43m, No. 216
1.0
-0.7422 0.2336 -4.5037
1.0712 -3.5443 -2.6794
-3.3123 -2.5090 -1.9033
Rh Ho Pt Cu
1 1 1 1
Cartesian
-1.4917 -2.9099 -4.5432
-2.2375 -4.3648 -6.8148
0.0000 0.0000 0.0000
-0.7458 -1.4549 -2.2716

***

HoCuPtRh (PBE, optimized geometry); density = 13.3 g/cm³; energy of formation = -0.707 eV/atom; symmetry = Pmmm, No. 47
1.0
-3.2887 -1.2802 1.5744
1.7523 0.0037 3.6633
-1.2575 3.9654 0.5976
Cu Ho Rh Pt
1 1 1 1
Cartesian
-0.7682 -0.6383 2.6188
-2.2731 1.3426 1.0860
0.2474 1.9845 2.1304
0.0000 0.0000 0.0000

***

HoScCuPt (PBE, optimized geometry); density = 10.1 g/cm³; energy of formation = -0.775 eV/atom; symmetry = F-43m, No. 216
1.0
-0.4434 4.5689 1.3199
-4.3349 1.9751 0.3491
-1.7925 1.0825 4.2929
Ho Pt Sc Cu
1 1 1 1
Cartesian
0.0000 0.0000 0.0000
-4.9281 5.7199 4.4714
-3.2854 3.8133 2.9810
-1.6427 1.9066 1.4905

***

HoScCuPt (PBE, optimized geometry); density = 9.7 g/cm³; energy of formation = -0.777 eV/atom; symmetry = Amm2, No. 38
1.0
-0.8234 3.4557 -0.5539
-0.3294 -0.7609 -4.2575
-4.5891 -2.8260 0.8602
Ho Pt Sc Cu
1 1 1 1
Cartesian
-4.1585 0.5608 -1.9879
-1.3902 1.1687 -2.3108
-1.3841 -0.3039 0.1614
-4.2218 -0.9271 0.4924

***

HoCuSi2Pt5 (PBE, optimized geometry); density = 12.4 g/cm³; E_form (uncorrected) = -523 kJ/mol of formula units; symmetry = P4/mmm, No. 123
1.0
4.0262 0.0000 0.0000
0.0000 4.0262 0.0000
0.0000 0.0000 10.4183
Si Pt Ho Cu
2 5 1 1
Cartesian
2.0131 2.0131 7.5576
2.0131 2.0131 2.8607
2.0131 0.0000 1.6306
0.0000 2.0131 8.7877
2.0131 2.0131 5.2091
0.0000 2.0131 1.6306
2.0131 0.0000 8.7877
0.0000 0.0000 5.2091
0.0000 0.0000 0.0000

***

Ho2CuSi4Pt3 (PBE, optimized geometry); density = 10.6 g/cm³; E_form (uncorrected) = -942 kJ/mol of formula units; symmetry = P-4m2, No. 115
1.0
-1.2714 -2.4057 3.0997
3.8141 -1.5225 0.3828
2.2357 7.2450 6.5400
Si Pt Ho Cu
4 3 2 1
Cartesian
2.7257 1.8919 2.5863
1.2714 -1.9641 1.7412
0.7813 3.3890 5.6948
0.0000 0.0000 0.0000
2.1904 0.1569 1.0202
1.1178 3.6225 3.2700
1.3167 5.1240 7.2610
3.5731 4.6380 5.0652
-0.0661 0.6429 3.2160
2.3892 1.6584 5.0112

***

HoCuSi2Pt (PBE, optimized geometry); density = 9.7 g/cm³; E_form (uncorrected) = -407 kJ/mol of formula units; symmetry = I-4m2, No. 119
1.0
-3.5258 -1.9635 -0.0161
0.6200 -1.0818 -3.8382
3.7865 -2.6805 3.4887
Cu Si Ho Pt
1 2 1 1
Cartesian
-0.5961 -3.0833 0.7727
-0.9159 -2.4897 -1.5679
1.7967 -3.2360 1.2023
0.0000 0.0000 0.0000
1.4768 -2.6425 -1.1383

***

HoCuSi2Pt2 (PBE, optimized geometry); density = 11.2 g/cm³; E_form (uncorrected) = -485 kJ/mol of formula units; symmetry = P-3m1, No. 164
1.0
-2.9331 0.5594 2.9276
-1.1100 -0.9712 -3.9130
0.2858 -6.4309 1.5151
Cu Ho Si Pt
1 1 2 2
Cartesian
0.1429 -3.2155 0.7575
0.0000 0.0000 0.0000
-1.5179 -4.9567 -0.5737
-2.2394 -1.8861 1.1034
-1.6314 -2.4019 -1.1755
-2.1258 -4.4408 1.7052

***

SmHoCuPt (PBE, optimized geometry); density = 10.6 g/cm³; energy of formation = -0.770 eV/atom; symmetry = Amm2, No. 38
1.0
3.8122 0.0000 0.0000
0.0000 4.4407 0.0000
-1.9061 0.0000 5.3285
Cu Pt Ho Sm
1 1 1 1
Cartesian
1.9061 2.2204 0.8149
0.0000 0.0000 4.4823
1.9061 2.2204 3.8664
0.0000 0.0000 1.4934